# PBE-GGA Pr2TmZn2In2, optimized geometry
# E, eV per atom: -3.438
# E_form, eV/atom: -0.29
# SG: R-3m (166)
# Crystal system: trigonal
data_Pr2TmZn2In2
_chemical_formula_sum 'Pr2 Tm1 Zn2 In2'
_cell_length_a 9.8577
_cell_length_b 9.8577
_cell_length_c 9.8577
_cell_angle_alpha 27.67
_cell_angle_beta 27.67
_cell_angle_gamma 27.67
_space_group_name_H-M_alt 'P 1'
_space_group_IT_number 1
_space_group_name_Hall 'P 1'
loop_
_atom_site_label
_atom_site_type_symbol
_atom_site_fract_x
_atom_site_fract_y
_atom_site_fract_z
Pr1 Pr 0.1256 0.1256 0.1256
Pr2 Pr 0.8744 0.8744 0.8744
Tm1 Tm 0.0000 0.0000 0.0000
Zn1 Zn 0.3881 0.3881 0.3881
Zn2 Zn 0.6119 0.6119 0.6119
In1 In 0.2699 0.2699 0.2699
In2 In 0.7301 0.7301 0.7301